Record 1
Computed, not measured: a relaxed structure of MgAl4Ir5 at the PBE level of DFT.

Geometry as CIF:
```
data_MgAl4Ir5
_chemical_formula_sum 'Mg1 Al4 Ir5'
_symmetry_space_group_name_H-M 'P 1'
_symmetry_Int_Tables_number 1
_cell_length_a 3.030
_cell_length_b 3.030
_cell_length_c 15.267
_cell_angle_alpha 90.00
_cell_angle_beta 90.00
_cell_angle_gamma 90.00
loop_
_symmetry_equiv_pos_as_xyz
'x,y,z'
loop_
_atom_site_label
_atom_site_type_symbol
_atom_site_fract_x
_atom_site_fract_y
_atom_site_fract_z
Al1 Al 0.000 0.000 0.200
Al2 Al 0.000 0.000 0.400
Al3 Al 0.000 0.000 0.600
Al4 Al 0.000 0.000 0.800
Ir1 Ir 0.500 0.500 0.109
Ir2 Ir 0.500 0.500 0.304
Ir3 Ir 0.500 0.500 0.500
Ir4 Ir 0.500 0.500 0.696
Ir5 Ir 0.500 0.500 0.891
Mg1 Mg 0.000 0.000 0.000
```

Values from the calculation:
V = 140.1 Å³ per cell
VASP energy = -6.957 eV/atom

Record 2
Computed, not measured: a relaxed structure of ErBeNO at the PBE level of DFT.

Geometry as CIF:
```
data_ErBeNO
_chemical_formula_sum 'Er2 Be2 N2 O2'
_symmetry_space_group_name_H-M 'P 1'
_symmetry_Int_Tables_number 1
_cell_length_a 3.464
_cell_length_b 3.464
_cell_length_c 7.148
_cell_angle_alpha 90.00
_cell_angle_beta 90.00
_cell_angle_gamma 90.00
loop_
_symmetry_equiv_pos_as_xyz
'x,y,z'
loop_
_atom_site_label
_atom_site_type_symbol
_atom_site_fract_x
_atom_site_fract_y
_atom_site_fract_z
Be1 Be 0.750 0.250 0.500
Be2 Be 0.250 0.750 0.500
Er1 Er 0.250 0.250 0.173
Er2 Er 0.750 0.750 0.827
N1 N 0.750 0.750 0.405
N2 N 0.250 0.250 0.595
O1 O 0.750 0.250 0.000
O2 O 0.250 0.750 0.000
```

Values from the calculation:
V = 85.8 Å³ per cell
VASP energy = -7.253 eV/atom

Record 3
Computed, not measured: a relaxed structure of LuZrU at the PBE level of DFT.

Geometry as CIF:
```
data_LuZrU
_chemical_formula_sum 'Lu1 Zr1 U1'
_symmetry_space_group_name_H-M 'P 1'
_symmetry_Int_Tables_number 1
_cell_length_a 4.980
_cell_length_b 4.980
_cell_length_c 4.980
_cell_angle_alpha 60.00
_cell_angle_beta 60.00
_cell_angle_gamma 60.00
loop_
_symmetry_equiv_pos_as_xyz
'x,y,z'
loop_
_atom_site_label
_atom_site_type_symbol
_atom_site_fract_x
_atom_site_fract_y
_atom_site_fract_z
Lu1 Lu 0.250 0.250 0.250
U1 U 0.000 0.000 0.000
Zr1 Zr 0.750 0.750 0.750
```

Values from the calculation:
V = 87.3 Å³ per cell
VASP energy = -6.827 eV/atom
energy of formation from the pure elements = 125 kJ/mol of atoms

Record 4
Computed, not measured: a relaxed structure of Gd4SiBr6 at the PBE level of DFT.

Geometry as CIF:
```
data_Gd4SiBr6
_chemical_formula_sum 'Gd8 Si2 Br12'
_symmetry_space_group_name_H-M 'P 1'
_symmetry_Int_Tables_number 1
_cell_length_a 13.318
_cell_length_b 14.108
_cell_length_c 4.092
_cell_angle_alpha 90.00
_cell_angle_beta 90.00
_cell_angle_gamma 90.00
loop_
_symmetry_equiv_pos_as_xyz
'x,y,z'
loop_
_atom_site_label
_atom_site_type_symbol
_atom_site_fract_x
_atom_site_fract_y
_atom_site_fract_z
Br1 Br 0.756 0.090 0.000
Br2 Br 0.000 0.243 0.000
Br3 Br 0.500 0.257 0.000
Br4 Br 0.256 0.410 0.000
Br5 Br 0.744 0.590 0.000
Br6 Br 0.500 0.743 0.000
Br7 Br 0.000 0.757 0.000
Br8 Br 0.244 0.910 0.000
Br9 Br 0.242 0.161 0.500
Br10 Br 0.742 0.339 0.500
Br11 Br 0.258 0.661 0.500
Br12 Br 0.758 0.839 0.500
Gd1 Gd 0.381 0.078 0.000
Gd2 Gd 0.881 0.422 0.000
Gd3 Gd 0.119 0.578 0.000
Gd4 Gd 0.619 0.922 0.000
Gd5 Gd 0.618 0.160 0.500
Gd6 Gd 0.118 0.340 0.500
Gd7 Gd 0.882 0.660 0.500
Gd8 Gd 0.382 0.840 0.500
Si1 Si 0.500 0.000 0.500
Si2 Si 0.000 0.500 0.500
```

Values from the calculation:
V = 768.8 Å³ per cell
VASP energy = -4.703 eV/atom

Record 5
Computed, not measured: a relaxed structure of Ta4InC2S at the PBE level of DFT.

Geometry as CIF:
```
data_Ta4InC2S
_chemical_formula_sum 'Ta4 In1 C2 S1'
_symmetry_space_group_name_H-M 'P 1'
_symmetry_Int_Tables_number 1
_cell_length_a 3.231
_cell_length_b 3.231
_cell_length_c 13.054
_cell_angle_alpha 90.00
_cell_angle_beta 90.00
_cell_angle_gamma 120.00
loop_
_symmetry_equiv_pos_as_xyz
'x,y,z'
loop_
_atom_site_label
_atom_site_type_symbol
_atom_site_fract_x
_atom_site_fract_y
_atom_site_fract_z
C1 C 0.333 0.667 0.271
C2 C 0.333 0.667 0.729
In1 In 0.000 0.000 0.000
S1 S 0.667 0.333 0.500
Ta1 Ta 0.667 0.333 0.184
Ta2 Ta 0.000 0.000 0.361
Ta3 Ta 0.000 0.000 0.639
Ta4 Ta 0.667 0.333 0.816
```

Values from the calculation:
V = 118.0 Å³ per cell
VASP energy = -9.636 eV/atom

Record 6
Computed, not measured: a relaxed structure of NaNdCdS3 at the PBE level of DFT.

Geometry as CIF:
```
data_NaNdCdS3
_chemical_formula_sum 'Na2 Nd2 Cd2 S6'
_symmetry_space_group_name_H-M 'P 1'
_symmetry_Int_Tables_number 1
_cell_length_a 6.921
_cell_length_b 6.921
_cell_length_c 11.075
_cell_angle_alpha 90.00
_cell_angle_beta 90.00
_cell_angle_gamma 34.70
loop_
_symmetry_equiv_pos_as_xyz
'x,y,z'
loop_
_atom_site_label
_atom_site_type_symbol
_atom_site_fract_x
_atom_site_fract_y
_atom_site_fract_z
Cd1 Cd 0.466 0.466 0.250
Cd2 Cd 0.534 0.534 0.750
Na1 Na 0.747 0.747 0.250
Na2 Na 0.253 0.253 0.750
Nd1 Nd 0.000 0.000 0.000
Nd2 Nd 0.000 0.000 0.500
S1 S 0.361 0.361 0.064
S2 S 0.084 0.084 0.250
S3 S 0.361 0.361 0.436
S4 S 0.639 0.639 0.564
S5 S 0.916 0.916 0.750
S6 S 0.639 0.639 0.936
```

Values from the calculation:
V = 302.0 Å³ per cell
VASP energy = -4.509 eV/atom

Record 7
Computed, not measured: a relaxed structure of YMgGeIr at the PBE level of DFT.

Geometry as CIF:
```
data_YMgGeIr
_chemical_formula_sum 'Y1 Mg1 Ge1 Ir1'
_symmetry_space_group_name_H-M 'P 1'
_symmetry_Int_Tables_number 1
_cell_length_a 4.766
_cell_length_b 4.766
_cell_length_c 4.766
_cell_angle_alpha 60.00
_cell_angle_beta 60.00
_cell_angle_gamma 60.00
loop_
_symmetry_equiv_pos_as_xyz
'x,y,z'
loop_
_atom_site_label
_atom_site_type_symbol
_atom_site_fract_x
_atom_site_fract_y
_atom_site_fract_z
Ge1 Ge 0.500 0.500 0.500
Ir1 Ir 0.000 0.000 0.000
Mg1 Mg 0.750 0.750 0.750
Y1 Y 0.250 0.250 0.250
```

Values from the calculation:
V = 76.5 Å³ per cell
VASP energy = -5.834 eV/atom

Record 8
Computed, not measured: a relaxed structure of Zr2BiPt at the PBE level of DFT.

Geometry as CIF:
```
data_Zr2BiPt
_chemical_formula_sum 'Zr2 Bi1 Pt1'
_symmetry_space_group_name_H-M 'P 1'
_symmetry_Int_Tables_number 1
_cell_length_a 4.972
_cell_length_b 4.972
_cell_length_c 4.972
_cell_angle_alpha 60.00
_cell_angle_beta 60.00
_cell_angle_gamma 60.00
loop_
_symmetry_equiv_pos_as_xyz
'x,y,z'
loop_
_atom_site_label
_atom_site_type_symbol
_atom_site_fract_x
_atom_site_fract_y
_atom_site_fract_z
Bi1 Bi 0.500 0.500 0.500
Pt1 Pt 0.250 0.250 0.250
Zr1 Zr 0.000 0.000 0.000
Zr2 Zr 0.750 0.750 0.750
```

Values from the calculation:
V = 86.9 Å³ per cell
VASP energy = -6.825 eV/atom

Record 9
Computed, not measured: a relaxed structure of LuC at the PBE level of DFT.

Geometry as CIF:
```
data_LuC
_chemical_formula_sum 'Lu1 C1'
_symmetry_space_group_name_H-M 'P 1'
_symmetry_Int_Tables_number 1
_cell_length_a 3.451
_cell_length_b 3.451
_cell_length_c 2.964
_cell_angle_alpha 90.00
_cell_angle_beta 90.00
_cell_angle_gamma 120.00
loop_
_symmetry_equiv_pos_as_xyz
'x,y,z'
loop_
_atom_site_label
_atom_site_type_symbol
_atom_site_fract_x
_atom_site_fract_y
_atom_site_fract_z
C1 C 0.667 0.333 0.750
Lu1 Lu 0.333 0.667 0.250
```

Values from the calculation:
V = 30.6 Å³ per cell
VASP energy = -6.541 eV/atom

Record 10
Computed, not measured: a relaxed structure of Rb3AgO2 at the PBE level of DFT.

Geometry as CIF:
```
data_Rb3AgO2
_chemical_formula_sum 'Rb6 Ag2 O4'
_symmetry_space_group_name_H-M 'P 1'
_symmetry_Int_Tables_number 1
_cell_length_a 7.862
_cell_length_b 7.862
_cell_length_c 7.862
_cell_angle_alpha 132.19
_cell_angle_beta 74.99
_cell_angle_gamma 125.96
loop_
_symmetry_equiv_pos_as_xyz
'x,y,z'
loop_
_atom_site_label
_atom_site_type_symbol
_atom_site_fract_x
_atom_site_fract_y
_atom_site_fract_z
Ag1 Ag 0.000 0.000 0.000
Ag2 Ag 0.500 0.500 0.000
O1 O 0.381 0.735 0.116
O2 O 0.119 0.235 0.355
O3 O 0.881 0.765 0.645
O4 O 0.619 0.265 0.884
Rb1 Rb 0.483 0.250 0.233
Rb2 Rb 0.983 0.750 0.233
Rb3 Rb 0.750 0.250 0.500
Rb4 Rb 0.250 0.750 0.500
Rb5 Rb 0.017 0.250 0.767
Rb6 Rb 0.517 0.750 0.767
```

Values from the calculation:
V = 283.9 Å³ per cell
VASP energy = -3.441 eV/atom

- Which formula does entry 9 have?
  LuC